Density functional theory data (PBE) for crystalline DyAl8Pd4 at its relaxed geometry.

Properties
VASP energy (eV for the cell shown): -64.67
SG: I4/mmm, No. 139
Total moment (μB per formula unit): 0.00
DFT formation energy (meV per atom): -719.4

Unit cell a=5.441 b=6.817 c=6.817 alpha=80.84 beta=66.48 gamma=66.48
Element x y z (fractional)
Pd (0.500, 0.500, 0.000)
Pd (0.000, 0.000, 0.500)
Pd (0.500, 0.000, 0.500)
Pd (0.000, 0.500, 0.000)
Al (0.348, 0.652, 0.652)
Al (0.720, 0.780, 0.780)
Al (0.652, 0.348, 0.348)
Al (0.280, 0.220, 0.220)
Al (0.000, 0.652, 0.348)
Al (0.500, 0.780, 0.220)
Al (0.000, 0.348, 0.652)
Al (0.500, 0.220, 0.780)
Dy (0.000, 0.000, 0.000)

Density functional theory data (PBE) for crystalline DyAlPd4 at its relaxed geometry.

Properties
VASP energy (eV for the cell shown): -32.56
SG: R-3m, No. 166
Total moment (μB per formula unit): 0.00
DFT formation energy (meV per atom): -573.3

Unit cell a=4.169 b=4.174 c=8.041 alpha=74.99 beta=74.98 gamma=60.04
Element x y z (fractional)
Pd (0.370, 0.370, 0.890)
Pd (0.107, 0.107, 0.678)
Pd (0.893, 0.893, 0.322)
Pd (0.630, 0.630, 0.110)
Al (0.000, 0.000, 0.000)
Dy (0.500, 0.500, 0.500)

Density functional theory data (PBE) for crystalline DyAl2Pd7 at its relaxed geometry.

Properties
VASP energy (eV for the cell shown): -52.11
SG: Cmmm, No. 65
Total moment (μB per formula unit): 0.00
DFT formation energy (meV per atom): -367.2

Unit cell a=4.524 b=7.042 c=7.042 alpha=117.35 beta=90.00 gamma=90.00
Element x y z (fractional)
Pd (0.500, 0.689, 0.933)
Pd (0.500, 0.067, 0.311)
Pd (0.000, 0.770, 0.230)
Pd (0.500, 0.500, 0.500)
Pd (0.000, 0.230, 0.770)
Pd (0.500, 0.311, 0.067)
Pd (0.500, 0.933, 0.689)
Al (0.500, 0.700, 0.300)
Al (0.500, 0.300, 0.700)
Dy (0.000, 0.000, 0.000)

Density functional theory data (PBE) for crystalline DyAlPd2 at its relaxed geometry.

Properties
VASP energy (eV for the cell shown): -21.96
SG: P4/mmm, No. 123
Total moment (μB per formula unit): 0.00
DFT formation energy (meV per atom): -807.3

Unit cell a=3.330 b=3.330 c=6.532 alpha=90.00 beta=90.00 gamma=90.00
Element x y z (fractional)
Dy (0.500, 0.500, 0.500)
Pd (0.000, 0.000, 0.786)
Pd (0.000, 0.000, 0.214)
Al (0.500, 0.500, 0.000)

Density functional theory data (PBE) for crystalline Dy6AlPd at its relaxed geometry.

Properties
VASP energy (eV for the cell shown): -38.65
SG: I4/mmm, No. 139
Total moment (μB per formula unit): 0.00
DFT formation energy (meV per atom): -262.7

Unit cell a=4.948 b=4.948 c=9.595 alpha=75.05 beta=75.05 gamma=90.00
Element x y z (fractional)
Dy (0.396, 0.896, 0.209)
Dy (0.896, 0.396, 0.209)
Dy (0.747, 0.747, 0.506)
Dy (0.604, 0.104, 0.791)
Dy (0.253, 0.253, 0.494)
Dy (0.104, 0.604, 0.791)
Al (0.500, 0.500, 0.000)
Pd (0.000, 0.000, 0.000)

Density functional theory data (PBE) for crystalline Dy2Al3Pd4 at its relaxed geometry.

Properties
VASP energy (eV for the cell shown): -98.88
SG: Cmce, No. 64
Total moment (μB per formula unit): 0.00
DFT formation energy (meV per atom): -915.0

Unit cell a=5.592 b=7.632 c=8.152 alpha=90.00 beta=110.06 gamma=90.00
Element x y z (fractional)
Al (0.521, 0.750, 0.541)
Al (0.500, 0.500, 0.000)
Al (0.479, 0.250, 0.459)
Al (0.979, 0.250, 0.459)
Al (0.021, 0.750, 0.541)
Al (0.000, 0.000, 0.000)
Dy (0.892, 0.413, 0.785)
Dy (0.108, 0.587, 0.215)
Dy (0.392, 0.087, 0.785)
Dy (0.608, 0.913, 0.215)
Pd (0.817, 0.021, 0.635)
Pd (0.689, 0.750, 0.877)
Pd (0.183, 0.979, 0.365)
Pd (0.189, 0.750, 0.877)
Pd (0.683, 0.521, 0.365)
Pd (0.317, 0.479, 0.635)
Pd (0.811, 0.250, 0.123)
Pd (0.311, 0.250, 0.123)

Density functional theory data (PBE) for crystalline DyAl6Pd3 at its relaxed geometry.

Properties
VASP energy (eV for the cell shown): -96.92
SG: P2_1/m, No. 11
Total moment (μB per formula unit): 0.00
DFT formation energy (meV per atom): -582.4

Unit cell a=4.168 b=8.092 c=10.627 alpha=96.54 beta=90.00 gamma=90.00
Element x y z (fractional)
Pd (0.750, 0.372, 0.838)
Pd (0.250, 0.628, 0.162)
Pd (0.750, 0.737, 0.544)
Pd (0.250, 0.876, 0.940)
Pd (0.250, 0.263, 0.456)
Pd (0.750, 0.124, 0.060)
Al (0.250, 0.213, 0.952)
Al (0.750, 0.787, 0.048)
Al (0.250, 0.270, 0.695)
Al (0.250, 0.341, 0.230)
Al (0.750, 0.730, 0.305)
Al (0.250, 0.559, 0.917)
Al (0.750, 0.063, 0.441)
Al (0.250, 0.937, 0.559)
Al (0.750, 0.414, 0.563)
Al (0.750, 0.441, 0.083)
Al (0.750, 0.659, 0.770)
Al (0.250, 0.586, 0.437)
Dy (0.750, 0.014, 0.772)
Dy (0.250, 0.986, 0.228)

Density functional theory data (PBE) for crystalline Dy2Al5Pd3 at its relaxed geometry.

Properties
VASP energy (eV for the cell shown): -102.84
SG: Ibam, No. 72
Total moment (μB per formula unit): 0.00
DFT formation energy (meV per atom): -792.7

Unit cell a=5.694 b=8.671 c=8.671 alpha=72.44 beta=70.83 gamma=70.83
Element x y z (fractional)
Pd (0.355, 0.551, 0.739)
Pd (0.855, 0.739, 0.551)
Pd (0.250, 0.000, 0.000)
Pd (0.145, 0.261, 0.449)
Pd (0.750, 0.000, 0.000)
Pd (0.645, 0.449, 0.261)
Al (0.910, 0.918, 0.263)
Al (0.590, 0.737, 0.082)
Al (0.043, 0.207, 0.207)
Al (0.750, 0.500, 0.500)
Al (0.250, 0.500, 0.500)
Al (0.090, 0.082, 0.737)
Al (0.410, 0.263, 0.918)
Al (0.543, 0.207, 0.207)
Al (0.957, 0.793, 0.793)
Al (0.457, 0.793, 0.793)
Dy (0.147, 0.575, 0.132)
Dy (0.853, 0.425, 0.868)
Dy (0.353, 0.868, 0.425)
Dy (0.647, 0.132, 0.575)

Density functional theory data (PBE) for crystalline Dy2AlPd at its relaxed geometry.

Properties
VASP energy (eV for the cell shown): -20.71
SG: P4/mmm, No. 123
Total moment (μB per formula unit): 0.00
DFT formation energy (meV per atom): -642.2

Unit cell a=3.562 b=3.562 c=7.094 alpha=90.00 beta=90.00 gamma=90.00
Element x y z (fractional)
Dy (0.000, 0.000, 0.761)
Dy (0.000, 0.000, 0.239)
Al (0.500, 0.500, 0.500)
Pd (0.500, 0.500, 0.000)

Density functional theory data (PBE) for crystalline Dy3AlPd at its relaxed geometry.

Properties
VASP energy (eV for the cell shown): -100.70
SG: C2/m, No. 12
Total moment (μB per formula unit): 0.00
DFT formation energy (meV per atom): -486.8

Unit cell a=6.553 b=9.466 c=9.162 alpha=118.48 beta=90.00 gamma=90.00
Element x y z (fractional)
Al (0.305, 0.000, 0.500)
Al (0.195, 0.500, 0.500)
Al (0.695, 0.000, 0.500)
Al (0.805, 0.500, 0.500)
Dy (0.000, 0.696, 0.878)
Dy (0.000, 0.304, 0.122)
Dy (0.000, 0.701, 0.326)
Dy (0.500, 0.799, 0.674)
Dy (0.000, 0.039, 0.269)
Dy (0.500, 0.461, 0.731)
Dy (0.500, 0.196, 0.878)
Dy (0.500, 0.539, 0.269)
Dy (0.500, 0.804, 0.122)
Dy (0.500, 0.201, 0.326)
Dy (0.000, 0.299, 0.674)
Dy (0.000, 0.961, 0.731)
Pd (0.224, 0.500, 0.000)
Pd (0.776, 0.500, 0.000)
Pd (0.724, 0.000, 0.000)
Pd (0.276, 0.000, 0.000)

Density functional theory data (PBE) for crystalline Dy2AlPd3 at its relaxed geometry.

Properties
VASP energy (eV for the cell shown): -33.82
SG: R-3m, No. 166
Total moment (μB per formula unit): 0.00
DFT formation energy (meV per atom): -882.0

Unit cell a=5.279 b=5.279 c=5.279 alpha=64.27 beta=64.27 gamma=64.27
Element x y z (fractional)
Pd (0.000, 0.000, 0.500)
Pd (0.000, 0.500, 0.000)
Pd (0.500, 0.000, 0.000)
Dy (0.629, 0.629, 0.629)
Dy (0.371, 0.371, 0.371)
Al (0.000, 0.000, 0.000)

Density functional theory data (PBE) for crystalline DyAl11Pd at its relaxed geometry.

Properties
VASP energy (eV for the cell shown): -53.91
SG: C2/m, No. 12
Total moment (μB per formula unit): 0.00
DFT formation energy (meV per atom): -226.4

Unit cell a=5.222 b=7.213 c=6.848 alpha=82.94 beta=67.59 gamma=71.18
Element x y z (fractional)
Dy (0.000, 0.000, 0.000)
Al (0.347, 0.645, 0.646)
Al (0.000, 0.500, 0.000)
Al (0.993, 0.645, 0.354)
Al (0.499, 0.778, 0.216)
Al (0.715, 0.778, 0.784)
Al (0.007, 0.355, 0.646)
Al (0.500, 0.000, 0.500)
Al (0.653, 0.355, 0.354)
Al (0.501, 0.222, 0.784)
Al (0.000, 0.000, 0.500)
Al (0.285, 0.222, 0.216)
Pd (0.500, 0.500, 0.000)